This record from Alexandria via LeMat-Bulk describes a geometry-optimized Li3VP2O8 structure. The functional is PBE with a Hubbard U.

Values from the calculation:
The energy comes out at -6.850 eV per atom. The density of states at the Fermi level comes out at 0.00 states/eV/f.u.

Geometry as CIF:
```
data_Li3VP2O8
_symmetry_space_group_name_H-M 'P 1'
_symmetry_Int_Tables_number 1
_cell_length_a 4.9370
_cell_length_b 4.9370
_cell_length_c 6.2739
_cell_angle_alpha 90.24
_cell_angle_beta 90.24
_cell_angle_gamma 67.37
loop_
_symmetry_equiv_pos_as_xyz
'x,y,z'
loop_
_atom_site_label
_atom_site_type_symbol
_atom_site_fract_x
_atom_site_fract_y
_atom_site_fract_z
Li1 Li 0.0000 0.0000 0.0000
Li2 Li 0.3271 0.3271 0.7727
Li3 Li 0.6729 0.6729 0.2273
V1 V 0.0000 0.0000 0.5000
P1 P 0.3504 0.3504 0.2618
P2 P 0.6496 0.6496 0.7382
O1 O 0.2379 0.6953 0.2684
O2 O 0.2419 0.2419 0.4661
O3 O 0.2459 0.2459 0.0626
O4 O 0.3047 0.7621 0.7316
O5 O 0.6953 0.2379 0.2684
O6 O 0.7541 0.7541 0.9374
O7 O 0.7581 0.7581 0.5339
O8 O 0.7621 0.3047 0.7316
```